#A
Below is crystalline BSNCl2 at its relaxed geometry, with properties calculated at the PBE level. Values from VASP.

Structure (Quantum ESPRESSO input):
```
&SYSTEM
  ibrav = 0, nat = 5, ntyp = 4
/
ATOMIC_SPECIES
Cl 35.45 Cl.upf
B 10.81 B.upf
S 32.06 S.upf
N 14.01 N.upf
CELL_PARAMETERS angstrom
5.8848 0.0000 0.0000
0.0000 5.8848 0.0000
0.0000 0.0000 3.2151
ATOMIC_POSITIONS angstrom
Cl 0.0000 2.9424 0.0000
B 2.9424 2.9424 1.6076
S 0.0000 0.0000 1.6076
N 0.0000 0.0000 0.0000
Cl 2.9424 0.0000 0.0000
```

#B
Below is crystalline BSNCl2 at its relaxed geometry, with properties calculated at the PBE level. Values from VASP.

Structure (Quantum ESPRESSO input):
```
&SYSTEM
  ibrav = 0, nat = 5, ntyp = 4
/
ATOMIC_SPECIES
N 14.01 N.upf
Cl 35.45 Cl.upf
S 32.06 S.upf
B 10.81 B.upf
CELL_PARAMETERS angstrom
-3.8099 1.7941 2.0293
0.8783 -2.4946 3.8546
2.1256 2.9224 1.4070
ATOMIC_POSITIONS angstrom
N -0.4030 1.1110 3.6454
Cl -1.9050 0.8971 1.0146
S 1.0628 1.4612 0.7035
B 0.0000 0.0000 0.0000
Cl 0.4392 -1.2473 1.9273
```

Of them, #A has the lowest stability.

#A
Below is crystalline BS2NCl at its relaxed geometry, with properties calculated at the PBE level. Values from VASP.

Structure (Quantum ESPRESSO input):
```
&SYSTEM
  ibrav = 0, nat = 5, ntyp = 4
/
ATOMIC_SPECIES
S 32.06 S.upf
B 10.81 B.upf
N 14.01 N.upf
Cl 35.45 Cl.upf
CELL_PARAMETERS angstrom
-2.4192 2.6623 -1.1820
-2.3978 -0.9476 2.7732
3.2460 4.9462 4.4969
ATOMIC_POSITIONS angstrom
S -1.2096 1.3312 -0.5910
B -0.7855 3.3304 3.0440
N 0.0000 0.0000 0.0000
Cl 1.6230 2.4731 2.2484
S -1.1989 -0.4738 1.3866
```

#B
Below is crystalline BS2NCl at its relaxed geometry, with properties calculated at the PBE level. Values from VASP.

Structure (Quantum ESPRESSO input):
```
&SYSTEM
  ibrav = 0, nat = 5, ntyp = 4
/
ATOMIC_SPECIES
Cl 35.45 Cl.upf
S 32.06 S.upf
N 14.01 N.upf
B 10.81 B.upf
CELL_PARAMETERS angstrom
7.9225 0.0000 0.0000
0.0000 7.9225 0.0000
0.0000 0.0000 2.4822
ATOMIC_POSITIONS angstrom
Cl 3.9613 3.9613 1.2411
S 0.0000 3.9613 0.0000
S 3.9613 0.0000 0.0000
N 0.0000 0.0000 1.2411
B 0.0000 0.0000 0.0000
```

Of them, #A has the lowest stability.